No. 1
DFT (PBE) results for a geometry-optimized Sr2DyIn3Pt4 structure.

Summary:
Mass density: 9833 kg/m3
Magnetization: 0.00 μB/cell
Energy: -4.803 eV per atom

POSCAR file:
```
Sr2DyIn3Pt4
1.0
-4.328 -1.711 0.140
1.690 -4.314 -0.464
0.734 -0.930 11.330
Sr Dy In Pt
2 1 3 4
direct
0.500 0.000 0.223
0.000 0.500 0.777
0.500 0.500 0.500
0.000 0.000 0.500
0.500 0.000 0.878
0.000 0.500 0.122
0.500 0.500 0.000
0.000 0.000 0.000
0.500 0.000 0.641
0.000 0.500 0.359
```

---

No. 2
DFT (PBE) results for a geometry-optimized PuUN structure.

Summary:
Mass density: 19033 kg/m3
Magnetization: 0.00 μB/cell
Energy above the lowest structure with this stoichiometry: 0.9760 eV per atom
Formation energy from raw total energies: 0.12 eV per atom
Energy: -11.200 eV per atom

POSCAR file:
```
PuUN
1.0
-1.063 1.515 -2.826
-0.449 -3.018 -1.449
-2.808 0.662 3.430
N U Pu
1 1 1
direct
0.290 0.290 0.579
0.618 0.618 0.236
0.942 0.942 0.885
```

---

No. 3
DFT (PBE) results for a geometry-optimized NbTl2Br structure.

Summary:
Mass density: 9231 kg/m3
Magnetization: 0.00 μB/cell
Energy above the lowest structure with this stoichiometry: 0.1835 eV per atom
Formation energy from raw total energies: 0.81 eV per atom
Energy: -3.310 eV per atom

POSCAR file:
```
NbTl2Br
1.0
-4.306 2.489 1.800
-1.217 4.820 -1.805
-4.189 0.660 -3.161
Tl Nb Br
2 1 1
direct
0.250 0.250 0.250
0.750 0.750 0.750
0.500 0.500 0.500
0.000 0.000 0.000
```